Here is an optimized crystal structure of CdMo2PbO8 from Alexandria via LeMat-Bulk. Energies are from PBE with a Hubbard U.

Cell lengths 7.561, 7.561, 6.892 Å; angles 90.00, 90.00, 90.00 degrees
Space group I-4m2 (No. 119)
Unique sites:
1 Cd 0.000 0.000 0.000
2 Mo 0.000 0.000 0.500
3 Mo 0.000 0.500 0.750
4 Pb 0.000 0.500 0.250
5 O 0.000 0.185 0.338
6 O 0.000 0.308 0.907

Output
E = -6.326 eV per atom
Calculated volume = 394.0 Å³ per cell
Magnetic moment = 0.0 μB/cell